No. 1
Below is Rb3Tb3ScS8 after structural relaxation, with properties calculated at the PBE-GGA level.

- ρ (Mg/m³) = 3.96
- energy relative to the elements, uncorrected (eV per atom) = -1.7397

Cell: 8.000 8.000 9.104 Å, 116.12 116.12 59.96°
Element x y z (fractional)
Rb (0.000, 0.000, 0.000)
Rb (0.000, 0.500, 0.000)
Rb (0.500, 0.000, 0.000)
Tb (0.000, 0.500, 0.500)
Tb (0.500, 0.000, 0.500)
Tb (0.500, 0.500, 0.500)
Sc (0.000, 0.000, 0.500)
S (0.221, 0.221, 0.684)
S (0.221, 0.742, 0.684)
S (0.258, 0.779, 0.316)
S (0.269, 0.269, 0.307)
S (0.731, 0.731, 0.693)
S (0.742, 0.221, 0.684)
S (0.779, 0.258, 0.316)
S (0.779, 0.779, 0.316)

---

No. 2
Below is RbFeCo after structural relaxation, with properties calculated at the PBE-GGA level.

- ρ (Mg/m³) = 3.93
- VASP energy (Ry per atom) = -0.3608

Cell: 3.908 3.908 11.066 Å, 90.00 90.00 90.00°
Element x y z (fractional)
Rb (0.250, 0.250, 0.203)
Rb (0.750, 0.750, 0.797)
Fe (0.250, 0.750, 0.500)
Fe (0.750, 0.250, 0.500)
Co (0.250, 0.250, 0.615)
Co (0.750, 0.750, 0.385)

---

No. 3
Below is TlBi2Pb10 after structural relaxation, with properties calculated at the PBE-GGA level.

- ρ (Mg/m³) = 10.14
- VASP energy (Ry per atom) = -0.2619

Cell: 11.530 8.814 8.791 Å, 81.83 49.17 48.99°
Element x y z (fractional)
Tl (0.000, 0.000, 0.000)
Bi (0.000, 0.000, 0.500)
Bi (0.500, 0.500, 0.000)
Pb (0.000, 0.353, 0.647)
Pb (0.000, 0.500, 0.000)
Pb (0.000, 0.647, 0.353)
Pb (0.287, 0.500, 0.500)
Pb (0.353, 0.000, 0.000)
Pb (0.500, 0.000, 0.500)
Pb (0.500, 0.287, 0.713)
Pb (0.500, 0.713, 0.287)
Pb (0.647, 0.000, 0.000)
Pb (0.713, 0.500, 0.500)